The following is a GGA-PBE calculation of crystalline PmH4Pd at its relaxed geometry, from the Alexandria database.

Output
Magnetization in μB per formula unit: 0.000
Raw total energy in eV/cell: -25.70

abc: 4.5302 4.5303 4.0287
angles: 63.09 63.10 62.56
Element x y z (fractional)
H 0.9078 0.4367 0.3284
H 0.4408 0.9038 0.3284
H 0.0948 0.5578 0.6679
H 0.5618 0.0908 0.6679
Pm 0.5013 0.4973 0.9981
Pd 0.0013 0.9972 0.4981

=====

The following is a GGA-PBE calculation of crystalline PmH3Pd2 at its relaxed geometry, from the Alexandria database.

Output
Magnetization in μB per formula unit: 0.000
Energy relative to the lowest polymorph listed for this composition in eV per formula unit: 0.167

abc: 5.3840 5.3918 5.3918
angles: 95.03 90.00 90.00
Element x y z (fractional)
Pm 0.2500 0.3034 0.6966
Pm 0.7500 0.6966 0.3034
H 0.2500 0.9597 0.0403
H 0.7500 0.2417 0.4231
H 0.2500 0.4231 0.2417
H 0.2500 0.7583 0.5769
H 0.7500 0.5769 0.7583
H 0.7500 0.0403 0.9597
Pd 0.0000 0.8050 0.8050
Pd 0.5000 0.1950 0.1950
Pd 0.5000 0.8050 0.8050
Pd 0.0000 0.1950 0.1950

=====

The following is a GGA-PBE calculation of crystalline Pm4HPd2 at its relaxed geometry, from the Alexandria database.

Output
Magnetization in μB per formula unit: 0.001
Raw total energy in eV/cell: -36.08

abc: 4.6968 4.6968 8.3217
angles: 73.61 73.61 90.00
Element x y z (fractional)
Pm 0.1865 0.1865 0.6270
Pm 0.5000 0.0000 0.0000
Pm 0.8135 0.8135 0.3730
Pm 0.0000 0.5000 0.0000
Pd 0.3669 0.3669 0.2661
Pd 0.6331 0.6331 0.7339
H 0.0000 0.0000 0.0000

=====

The following is a GGA-PBE calculation of crystalline PmH7Pd12 at its relaxed geometry, from the Alexandria database.

Output
Magnetization in μB per formula unit: 0.000
Raw total energy in eV/cell: -94.42

abc: 7.1738 6.5513 6.5513
angles: 72.53 68.59 111.41
Element x y z (fractional)
Pd 0.4681 0.0787 0.6879
Pd 0.5319 0.9213 0.3121
Pd 0.1560 0.6879 0.2335
Pd 0.2381 0.5425 0.8317
Pd 0.7619 0.4575 0.1683
Pd 0.3894 0.2335 0.0787
Pd 0.6956 0.6258 0.5425
Pd 0.3044 0.3742 0.4575
Pd 0.9302 0.1683 0.3742
Pd 0.0698 0.8317 0.6258
Pd 0.6106 0.7665 0.9213
Pd 0.8440 0.3121 0.7665
H 0.4292 0.3248 0.7485
H 0.1044 0.9267 0.3248
H 0.8956 0.0733 0.6752
H 0.1777 0.7485 0.9267
H 0.5000 0.0000 0.0000
H 0.8223 0.2515 0.0733
H 0.5708 0.6752 0.2515
Pm 0.0000 0.0000 0.0000